Entry from the Alexandria database: a relaxed structure of CaNb2Au2 (PBE).

Calculated values
Offset from the most stable computed form (eV/atom): 0.249
V (Å³/cell): 204.9
Final energy (Ry/atom): -0.41224

a = 8.0872 Å, b = 8.0872 Å, c = 3.1334 Å
α = 90.00°, β = 90.00°, γ = 90.00°
With the nearest neighbours (Å) after each atom.
Space group P4/mbm (No. 127)
One atom of each set of equivalent atoms:
Ca  0.0000  0.0000  0.0000 (multiplicity 2)  2 Ca 3.13, 4 Au 3.20, 8 Nb 3.39
Nb  0.1700  0.3300  0.5000 (multiplicity 4)  6 Au 2.82-2.88, 2 Nb 3.13
Au  0.1247  0.6247  0.0000 (multiplicity 4)  6 Nb 2.82-2.88, 3 Au 2.85-3.13

Entry from the Alexandria database: a relaxed structure of Li5Sn2Au5 (PBE).

Calculated values
V (Å³/cell): 423.3
Final energy (Ry/atom): -0.24140

a = 11.1283 Å, b = 4.3601 Å, c = 9.4136 Å
α = 90.00°, β = 112.06°, γ = 90.00°
With the nearest neighbours (Å) after each atom.
Space group C2/m (No. 12)
One atom of each set of equivalent atoms:
Li  0.0000  0.0000  0.0000 (multiplicity 2)  6 Au 2.86-2.95, 2 Li 2.92, 4 Sn 3.08
Li  0.1133  0.0000  0.7663 (multiplicity 4)  5 Au 2.76-2.87, 2 Li 2.76-2.92, 2 Sn 3.06
Li  0.1587  0.0000  0.4977 (multiplicity 4)  3 Au 2.66-2.81, 3 Li 2.76-2.97, 1 Sn 2.95
Sn  0.0850  0.5000  0.2499 (multiplicity 4)  5 Au 2.76-2.97, 7 Li 2.95-3.08
Au  0.0000  0.5000  0.5000 (multiplicity 2)  4 Li 2.81, 2 Au 2.84, 2 Sn 2.85
Au  0.1594  0.5000  0.9785 (multiplicity 4)  5 Li 2.76-2.87, 2 Sn 2.76-2.97, 3 Au 2.89-2.91
Au  0.2456  0.0000  0.2704 (multiplicity 4)  4 Li 2.66-2.95, 2 Sn 2.78, 2 Au 2.84-2.91

Entry from the Alexandria database: a relaxed structure of Np2Co3P4 (PBE).

Calculated values
V (Å³/cell): 528.6
Final energy (Ry/atom): -0.60163

a = 5.1792 Å, b = 9.3917 Å, c = 10.8677 Å
α = 90.00°, β = 90.00°, γ = 90.00°
With the nearest neighbours (Å) after each atom.
Space group Fmmm (No. 69)
One atom of each set of equivalent atoms:
Np  0.0000  0.0000  0.1388 (multiplicity 8)  6 P 2.75-3.02, 6 Co 3.00-3.08, 1 Np 3.02
Co  0.0000  0.0000  0.5000 (multiplicity 4)  4 P 2.27
Co  0.2500  0.2500  0.0000 (multiplicity 8)  4 P 2.25
P  0.0000  0.1656  0.3474 (multiplicity 16)  3 Co 2.25-2.27

Entry from the Alexandria database: a relaxed structure of Cu3BiP (PBE).

Calculated values
Offset from the most stable computed form (eV/atom): 0.962
V (Å³/cell): 125.1
Final energy (Ry/atom): -0.22569

a = 5.0014 Å, b = 5.0014 Å, c = 5.0014 Å
α = 90.00°, β = 90.00°, γ = 90.00°
With the nearest neighbours (Å) after each atom.
Space group Pm-3m (No. 221)
One atom of each set of equivalent atoms:
Cu  0.0000  0.0000  0.5000 (multiplicity 3)  2 Bi 2.50
Bi  0.0000  0.0000  0.0000 (multiplicity 1)  6 Cu 2.50
P  0.5000  0.5000  0.5000 (multiplicity 1)  12 Cu 3.54

Entry from the Alexandria database: a relaxed structure of ReI (PBE).

Calculated values
Offset from the most stable computed form (eV/atom): 1.153
V (Å³/cell): 86.4
Final energy (Ry/atom): -0.39087

a = 3.3520 Å, b = 3.3520 Å, c = 8.8774 Å
α = 90.00°, β = 90.00°, γ = 120.00°
With the nearest neighbours (Å) after each atom.
Space group P6_3mc (No. 186)
One atom of each set of equivalent atoms:
Re  0.3333  0.6667  0.0000 (multiplicity 2)  4 I 2.59-2.68
I  0.3333  0.6667  0.7083 (multiplicity 2)  4 Re 2.59-2.68

Entry from the Alexandria database: a relaxed structure of Ac3Pr5Dy2 (PBE).

Calculated values
V (Å³/cell): 1616.0
Final energy (Ry/atom): -0.31013

a = 9.9901 Å, b = 14.3381 Å, c = 11.2815 Å
α = 90.00°, β = 90.00°, γ = 90.00°
With the nearest neighbours (Å) after each atom.
Space group Ibam (No. 72)
One atom of each set of equivalent atoms:
Ac  0.0000  0.0000  0.2500 (multiplicity 4)  4 Dy 3.56, 2 Pr 3.65
Ac  0.2469  0.1245  0.0000 (multiplicity 8)  2 Dy 3.41-3.77, 1 Pr 3.54
Pr  0.0000  0.2548  0.2500 (multiplicity 8)  2 Dy 3.42, 3 Pr 3.49-3.52, 1 Ac 3.65
Pr  0.0000  0.5000  0.2500 (multiplicity 4)  6 Pr 3.45-3.52
Pr  0.1014  0.3801  0.0000 (multiplicity 8)  1 Dy 3.06
Dy  0.0935  0.1373  0.5000 (multiplicity 8)  3 Pr 3.06-3.42, 1 Ac 3.41

Entry from the Alexandria database: a relaxed structure of Mg4AsIr (PBE).

Calculated values
V (Å³/cell): 447.9
Final energy (Ry/atom): -0.22696

a = 7.6514 Å, b = 7.6514 Å, c = 7.6514 Å
α = 90.00°, β = 90.00°, γ = 90.00°
With the nearest neighbours (Å) after each atom.
Space group F-43m (No. 216)
One atom of each set of equivalent atoms:
Mg  0.1241  0.1241  0.3759 (multiplicity 16)  6 Mg 2.69-2.72
As  0.0000  0.0000  0.0000 (multiplicity 4)  12 Mg 3.17, 4 Ir 3.31
Ir  0.2500  0.2500  0.7500 (multiplicity 4)  12 Mg 3.17, 4 As 3.31

Entry from the Alexandria database: a relaxed structure of TbNd2YHo6 (PBE).

Calculated values
V (Å³/cell): 1298.7
Final energy (Ry/atom): -0.34496

a = 9.0006 Å, b = 15.0804 Å, c = 9.6849 Å
α = 90.00°, β = 98.92°, γ = 90.00°
With the nearest neighbours (Å) after each atom.
Space group C2/c (No. 15)
One atom of each set of equivalent atoms:
Tb  0.0000  0.0932  0.2500 (multiplicity 4)  8 Ho 3.43-3.75, 2 Nd 3.57
Nd  0.2457  0.4468  0.0422 (multiplicity 8)  6 Ho 3.26-3.65, 2 Y 3.35-3.39, 1 Tb 3.57
Y  0.0000  0.4819  0.7500 (multiplicity 4)  4 Nd 3.35-3.39, 4 Ho 3.59-3.66
Ho  0.0647  0.3091  0.4430 (multiplicity 8)  8 Ho 3.39-3.79, 1 Nd 3.50, 1 Y 3.66, 1 Tb 3.75
Ho  0.1038  0.1051  0.6194 (multiplicity 8)  4 Ho 3.23-3.51, 3 Nd 3.26-3.44, 2 Tb 3.43-3.56
Ho  0.2001  0.2762  0.8129 (multiplicity 8)  2 Ho 3.23-3.57, 1 Nd 3.38, 1 Tb 3.47, 1 Y 3.59

Entry from the Alexandria database: a relaxed structure of KCa2TlPt (PBE).

Calculated values
V (Å³/cell): 174.8
Final energy (Ry/atom): -0.22405

a = 5.6927 Å, b = 5.6927 Å, c = 5.3925 Å
α = 90.00°, β = 90.00°, γ = 90.00°
With the nearest neighbours (Å) after each atom.
Space group P4/mmm (No. 123)
One atom of each set of equivalent atoms:
K  0.0000  0.0000  0.0000 (multiplicity 1)  8 Ca 3.92, 4 Tl 4.03
Ca  0.0000  0.5000  0.5000 (multiplicity 2)  2 Pt 2.85
Tl  0.5000  0.5000  0.0000 (multiplicity 1)  2 Pt 2.70
Pt  0.5000  0.5000  0.5000 (multiplicity 1)  2 Tl 2.70, 4 Ca 2.85

Entry from the Alexandria database: a relaxed structure of Y4Cu2Sn (PBE).

Calculated values
V (Å³/cell): 707.1
Final energy (Ry/atom): -0.42331

a = 8.6323 Å, b = 15.0891 Å, c = 6.9291 Å
α = 90.00°, β = 128.43°, γ = 90.00°
With the nearest neighbours (Å) after each atom.
Space group Cc (No. 9)
One atom of each set of equivalent atoms:
Y  0.0000  0.0268  0.0000 (multiplicity 4)  3 Cu 2.77-3.09
Y  0.0347  0.4626  0.8665 (multiplicity 4)  3 Cu 2.82-2.91
Y  0.0612  0.2552  0.1516 (multiplicity 4)  4 Cu 2.92-3.19, 2 Sn 3.21-3.26
Y  0.2584  0.1708  0.8363 (multiplicity 4)  3 Cu 2.80-2.98, 1 Sn 3.12
Cu  0.2820  0.0894  0.4747 (multiplicity 4)  7 Y 2.77-3.10
Cu  0.3575  0.3357  0.1287 (multiplicity 4)  1 Sn 2.79, 5 Y 2.80-2.98
Sn  0.2575  0.3621  0.6649 (multiplicity 4)  1 Cu 2.79, 1 Y 3.12

Entry from the Alexandria database: a relaxed structure of YTl2ZnGa (PBE).

Calculated values
V (Å³/cell): 156.5
Final energy (Ry/atom): -0.20330

a = 5.3108 Å, b = 5.3108 Å, c = 5.5486 Å
α = 90.00°, β = 90.00°, γ = 90.00°
With the nearest neighbours (Å) after each atom.
Space group P4/mmm (No. 123)
One atom of each set of equivalent atoms:
Y  0.0000  0.0000  0.0000 (multiplicity 1)  2 Ga 2.77
Tl  0.0000  0.5000  0.5000 (multiplicity 2)  2 Ga 2.66
Zn  0.5000  0.5000  0.0000 (multiplicity 1)  4 Y 3.76, 8 Tl 3.84
Ga  0.0000  0.0000  0.5000 (multiplicity 1)  4 Tl 2.66, 2 Y 2.77

Entry from the Alexandria database: a relaxed structure of K2In6Pd (PBE).

Calculated values
V (Å³/cell): 253.3
Final energy (Ry/atom): -0.20629

a = 6.8410 Å, b = 6.8410 Å, c = 6.2485 Å
α = 90.00°, β = 90.00°, γ = 120.00°
With the nearest neighbours (Å) after each atom.
Space group P-3m1 (No. 164)
One atom of each set of equivalent atoms:
K  0.3333  0.6667  0.1741 (multiplicity 2)  12 In 3.53-3.75
In  0.1704  0.3408  0.6891 (multiplicity 6)  1 Pd 2.80, 2 In 3.11
Pd  0.0000  0.0000  0.0000 (multiplicity 1)  6 In 2.80

Entry from the Alexandria database: a relaxed structure of ScTaOs2Cl (PBE).

Calculated values
V (Å³/cell): 87.1
Final energy (Ry/atom): -0.55172

a = 4.4237 Å, b = 4.4237 Å, c = 4.4526 Å
α = 90.00°, β = 90.00°, γ = 90.00°
With the nearest neighbours (Å) after each atom.
Space group P4/mmm (No. 123)
One atom of each set of equivalent atoms:
Sc  0.0000  0.0000  0.0000 (multiplicity 1)  2 Cl 2.23
Ta  0.5000  0.5000  0.0000 (multiplicity 1)  4 Sc 3.13, 8 Os 3.14
Os  0.0000  0.5000  0.5000 (multiplicity 2)  2 Cl 2.21
Cl  0.0000  0.0000  0.5000 (multiplicity 1)  4 Os 2.21, 2 Sc 2.23

Entry from the Alexandria database: a relaxed structure of CeAl3Ag (PBE).

Calculated values
Offset from the most stable computed form (eV/atom): 0.000
V (Å³/cell): 205.6
Final energy (Ry/atom): -0.31964

a = 4.3134 Å, b = 4.3134 Å, c = 11.0498 Å
α = 90.00°, β = 90.00°, γ = 90.00°
With the nearest neighbours (Å) after each atom.
Space group I4mm (No. 107)
One atom of each set of equivalent atoms:
Ce  0.0000  0.0000  0.0000 (multiplicity 2)  8 Al 3.21-3.38, 4 Ag 3.40
Al  0.0000  0.0000  0.5911 (multiplicity 2)  1 Ag 2.50, 4 Al 2.69
Al  0.0000  0.5000  0.2358 (multiplicity 4)  2 Ag 2.58, 2 Al 2.69
Ag  0.0000  0.0000  0.3645 (multiplicity 2)  5 Al 2.50-2.58

Entry from the Alexandria database: a relaxed structure of PmCd2PbO6 (PBE).

Calculated values
V (Å³/cell): 451.8
Final energy (Ry/atom): -0.39966

a = 5.8100 Å, b = 5.8100 Å, c = 15.4550 Å
α = 90.00°, β = 90.00°, γ = 120.00°
With the nearest neighbours (Å) after each atom.
Space group R3 (No. 146, hexagonal axes)
One atom of each set of equivalent atoms:
Pm  0.0000  0.0000  0.0000 (multiplicity 3)  6 O 2.31-2.45
Cd  0.0000  0.0000  0.2787 (multiplicity 3)  6 O 2.28-2.43
Cd  0.0000  0.0000  0.7856 (multiplicity 3)  6 O 2.25-2.38
Pb  0.0000  0.0000  0.4915 (multiplicity 3)  6 O 2.20-2.26
O  0.0075  0.7167  0.3931 (multiplicity 9)  2 Cd 2.25-2.43, 1 Pb 2.26, 1 Pm 2.31
O  0.0408  0.3553  0.5560 (multiplicity 9)  1 Pb 2.20, 2 Cd 2.28-2.38, 1 Pm 2.45

Entry from the Alexandria database: a relaxed structure of Pm4Pr3Dy5 (PBE).

Calculated values
Offset from the most stable computed form (eV/atom): 0.000
V (Å³/cell): 402.8
Final energy (Ry/atom): -0.34403

a = 6.2706 Å, b = 7.2390 Å, c = 8.8735 Å
α = 90.00°, β = 89.88°, γ = 89.88°
With the nearest neighbours (Å) after each atom.
Space group P-1 (No. 2)
One atom of each set of equivalent atoms:
Pm  0.1679  0.0006  0.3306 (multiplicity 2)  5 Dy 3.59-3.62, 4 Pm 3.61-3.67, 3 Pr 3.62-3.64
Pm  0.3311  0.7495  0.6677 (multiplicity 2)  5 Dy 3.60-3.64, 3 Pm 3.61-3.65, 4 Pr 3.62-3.64
Pr  0.3321  0.2500  0.6674 (multiplicity 2)  5 Dy 3.60-3.64, 6 Pm 3.62-3.64, 1 Pr 3.62
Pr  0.5000  0.5000  0.0000 (multiplicity 1)  8 Dy 3.61-3.63, 2 Pm 3.62, 2 Pr 3.62
Dy  0.0008  0.7499  0.9997 (multiplicity 2)  3 Pm 3.60-3.61, 6 Dy 3.60-3.62, 3 Pr 3.61-3.63
Dy  0.1651  0.5000  0.3312 (multiplicity 2)  5 Pm 3.60-3.64, 4 Pr 3.60-3.64, 3 Dy 3.60-3.64
Dy  0.5000  0.0000  0.0000 (multiplicity 1)  4 Pm 3.59-3.62, 4 Pr 3.62, 4 Dy 3.62

Entry from the Alexandria database: a relaxed structure of Er8Ge3Te4N (PBE).

Calculated values
V (Å³/cell): 1216.9
Final energy (Ry/atom): -0.41298

a = 8.1824 Å, b = 8.1824 Å, c = 20.9864 Å
α = 90.00°, β = 90.00°, γ = 120.00°
With the nearest neighbours (Å) after each atom.
Space group R-3m (No. 166, hexagonal axes)
One atom of each set of equivalent atoms:
Er  0.0000  0.0000  0.2406 (multiplicity 6)  3 Ge 2.83, 3 Te 3.06
Er  0.0212  0.5106  0.2347 (multiplicity 18)  1 N 2.63, 2 Ge 2.83
Ge  0.0000  0.5000  0.5000 (multiplicity 9)  6 Er 2.83
Te  0.0000  0.0000  0.0000 (multiplicity 3)  6 Er 3.26
Te  0.0000  0.5000  0.0000 (multiplicity 9)  6 Er 3.06-3.09
N  0.0000  0.0000  0.5000 (multiplicity 3)  6 Er 2.63

Entry from the Alexandria database: a relaxed structure of BeReCl2 (PBE).

Calculated values
Offset from the most stable computed form (eV/atom): 0.224
V (Å³/cell): 173.4
Final energy (Ry/atom): -0.35598

a = 7.8594 Å, b = 2.9470 Å, c = 7.6433 Å
α = 90.00°, β = 101.57°, γ = 90.00°
With the nearest neighbours (Å) after each atom.
Space group Cm (No. 8)
One atom of each set of equivalent atoms:
Be  0.0000  0.0000  0.0000 (multiplicity 2)  1 Cl 1.99
Re  0.2488  0.5000  0.1012 (multiplicity 2)  3 Be 2.26-2.45, 2 Cl 2.35
Cl  0.1476  0.0000  0.8172 (multiplicity 2)  1 Be 1.99
Cl  0.3194  0.0000  0.3453 (multiplicity 2)  2 Re 2.35

Entry from the Alexandria database: a relaxed structure of TlPb4Au (PBE).

Calculated values
Offset from the most stable computed form (eV/atom): 0.006
V (Å³/cell): 727.5
Final energy (Ry/atom): -0.24956

a = 4.9017 Å, b = 30.0388 Å, c = 4.9408 Å
α = 90.00°, β = 90.00°, γ = 90.00°
With the nearest neighbours (Å) after each atom.
Space group Cmmm (No. 65)
One atom of each set of equivalent atoms:
Tl  0.0000  0.2071  0.0000 (multiplicity 4)  10 Pb 3.48-3.57, 2 Tl 3.56
Pb  0.0000  0.0000  0.5000 (multiplicity 2)  4 Au 3.09
Pb  0.0000  0.1220  0.5000 (multiplicity 4)  2 Au 3.03
Pb  0.0000  0.2903  0.5000 (multiplicity 4)  6 Pb 3.44-3.64, 6 Tl 3.48-3.51
Pb  0.0000  0.3793  0.0000 (multiplicity 4)  2 Au 3.03
Pb  0.0000  0.5000  0.0000 (multiplicity 2)  4 Au 3.10
Au  0.0000  0.4376  0.5000 (multiplicity 4)  8 Pb 3.03-3.10

Entry from the Alexandria database: a relaxed structure of K3Ho2ZrS6 (PBE).

Calculated values
V (Å³/cell): 595.9
Final energy (Ry/atom): -0.40748

a = 6.8243 Å, b = 11.8199 Å, c = 7.7311 Å
α = 90.00°, β = 107.13°, γ = 90.00°
With the nearest neighbours (Å) after each atom.
Space group C2/m (No. 12)
One atom of each set of equivalent atoms:
K  0.0000  0.0000  0.0000 (multiplicity 2)  6 S 3.14-3.22
K  0.0000  0.3311  0.0000 (multiplicity 4)  6 S 3.15-3.21
Ho  0.0000  0.1665  0.5000 (multiplicity 4)  6 S 2.75
Zr  0.0000  0.5000  0.5000 (multiplicity 2)  6 S 2.65
S  0.2281  0.3389  0.7011 (multiplicity 8)  1 Zr 2.65, 2 Ho 2.75
S  0.2453  0.0000  0.7017 (multiplicity 4)  1 Zr 2.65, 2 Ho 2.75

Entry from the Alexandria database: a relaxed structure of Tb2PmNi (PBE).

Calculated values
Offset from the most stable computed form (eV/atom): 0.000
V (Å³/cell): 429.5
Final energy (Ry/atom): -0.37993

a = 6.9200 Å, b = 9.6741 Å, c = 6.4156 Å
α = 90.00°, β = 90.00°, γ = 90.00°
With the nearest neighbours (Å) after each atom.
Space group Pnma (No. 62)
One atom of each set of equivalent atoms:
Tb  0.1766  0.0666  0.1757 (multiplicity 8)  2 Ni 2.76-2.84
Pm  0.0330  0.2500  0.6400 (multiplicity 4)  2 Ni 2.80-2.91
Ni  0.1109  0.7500  0.9332 (multiplicity 4)  4 Tb 2.76-2.84, 2 Pm 2.80-2.91

Entry from the Alexandria database: a relaxed structure of BaPd3I (PBE).

Calculated values
Offset from the most stable computed form (eV/atom): 0.000
V (Å³/cell): 137.8
Final energy (Ry/atom): -0.28751

a = 5.1651 Å, b = 5.1651 Å, c = 5.1651 Å
α = 90.00°, β = 90.00°, γ = 90.00°
With the nearest neighbours (Å) after each atom.
Space group Pm-3m (No. 221)
One atom of each set of equivalent atoms:
Ba  0.0000  0.0000  0.0000 (multiplicity 1)  12 Pd 3.65
Pd  0.0000  0.5000  0.5000 (multiplicity 3)  2 I 2.58
I  0.5000  0.5000  0.5000 (multiplicity 1)  6 Pd 2.58

Entry from the Alexandria database: a relaxed structure of KPt3Cl (PBE).

Calculated values
Offset from the most stable computed form (eV/atom): 0.000
V (Å³/cell): 105.4
Final energy (Ry/atom): -0.25872

a = 4.7240 Å, b = 4.7240 Å, c = 4.7240 Å
α = 90.00°, β = 90.00°, γ = 90.00°
With the nearest neighbours (Å) after each atom.
Space group Pm-3m (No. 221)
One atom of each set of equivalent atoms:
K  0.0000  0.0000  0.0000 (multiplicity 1)  12 Pt 3.34
Pt  0.0000  0.5000  0.5000 (multiplicity 3)  2 Cl 2.36
Cl  0.5000  0.5000  0.5000 (multiplicity 1)  6 Pt 2.36